Entry 1:
VASP calculation (PBE) on an optimized crystal structure of PmCdGe.

Summary:
* crystal system: cubic
* offset from the most stable computed form: 0 meV per atom
* VASP energy: -3.605 eV/atom
* magnetization: 0.011 μB per cell

Cell lengths 6.8183, 6.8183, 6.8183 Å; angles 90.00, 90.00, 90.00 degrees
Space group F-43m (No. 216)
One atom of each set of equivalent atoms:
Pm 0.0000 0.0000 0.0000 [4 per cell]
Cd 0.2500 0.2500 0.7500 [4 per cell]
Ge 0.0000 0.0000 0.5000 [4 per cell]

=====

Entry 2:
VASP calculation (PBE) on an optimized crystal structure of PmCdGe.

Summary:
* crystal system: cubic
* offset from the most stable computed form: 78 meV per atom
* VASP energy: -3.527 eV/atom
* magnetization: 0.002 μB per cell

Cell lengths 7.0211, 7.0211, 7.0211 Å; angles 90.00, 90.00, 90.00 degrees
Space group F-43m (No. 216)
One atom of each set of equivalent atoms:
Pm 0.0000 0.0000 0.0000 [4 per cell]
Cd 0.2500 0.2500 0.7500 [4 per cell]
Ge 0.2500 0.2500 0.2500 [4 per cell]

=====

Entry 3:
VASP calculation (PBE) on an optimized crystal structure of PrCdGe.

Summary:
* crystal system: cubic
* VASP energy: -3.525 eV/atom
* magnetization: 0.011 μB per cell

Cell lengths 7.1082, 7.1082, 7.1082 Å; angles 90.00, 90.00, 90.00 degrees
Space group F-43m (No. 216)
One atom of each set of equivalent atoms:
Pr 0.0000 0.0000 0.0000 [4 per cell]
Cd 0.2500 0.2500 0.2500 [4 per cell]
Ge 0.2500 0.2500 0.7500 [4 per cell]